No. 1
Pr3P6Pd20: optimized geometry, PBEsol.

extended XYZ file:
```
29
Lattice="-5.2071 6.7580 1.1991 -5.4777 2.3730 -6.2118 -8.4670 -1.2148 1.0280" Properties=species:S:1:pos:R:3 pbc="T T T"
Pr -4.7879 1.9790 -0.9962
Pr -14.3638 5.9371 -2.9885
Pr 0.0000 0.0000 0.0000
P -7.5041 5.2859 -0.4789
P -11.6477 2.6303 -3.5058
P -11.5194 4.7098 0.0086
P -7.6324 3.2064 -3.9933
P -10.1017 6.4112 -3.4247
P -9.0500 1.5049 -0.5600
Pd -9.7663 6.1294 -0.9949
Pd -9.3854 1.7867 -2.9898
Pd -9.8893 4.1371 -4.3621
Pd -11.2475 2.5069 -1.0727
Pd -9.2625 3.7791 0.3774
Pd -7.9043 5.4092 -2.9120
Pd -7.4004 3.0589 -1.5397
Pd -11.7513 4.8573 -2.4450
Pd -3.3967 4.4084 0.7822
Pd -1.8104 2.3496 0.4169
Pd -6.5170 1.1256 -3.6947
Pd -7.4277 0.0326 -1.4891
Pd -6.3405 3.9860 1.1396
Pd -1.9045 0.8250 -2.1597
Pd -7.3336 1.5572 1.0875
Pd -3.5732 1.5480 -4.0521
Pd -5.3012 5.2334 -1.3775
Pd -5.3836 3.8976 -3.6352
Pd -2.9438 -0.4224 0.3574
Pd -5.5232 -0.7925 0.6706
```

Values from the calculation:
- total energy (eV/atom) = -6.5798
- calculated volume (Å³/cell) = 452

No. 2
ZrCdAg2: optimized geometry, PBEsol.

extended XYZ file:
```
4
Lattice="-1.5203 2.4290 0.2430 0.6939 -1.7376 4.6935 4.5401 2.8827 -0.4115" Properties=species:S:1:pos:R:3 pbc="T T T"
Ag -0.8200 0.6990 4.9012
Ag 3.3369 1.8764 2.1203
Cd 1.6150 2.7194 -0.0624
Zr 0.2655 1.6267 2.4181
```

Values from the calculation:
- total energy (eV/atom) = -4.2320
- calculated volume (Å³/cell) = 74

No. 3
CdSbOs: optimized geometry, PBEsol.

extended XYZ file:
```
3
Lattice="-1.2610 -2.8291 -0.5219 3.1013 0.4127 -0.2785 0.8106 -1.5914 6.6683" Properties=species:S:1:pos:R:3 pbc="T T T"
Sb 0.4994 -2.3498 2.0789
Os 2.1772 -1.7083 4.0001
Cd 0.7850 -1.5411 6.4574
```

Values from the calculation:
- E_form (uncorrected) (meV per atom) = 428
- calculated volume (Å³/cell) = 59